Material: Ti2CdMoPd
Method: DFT, PBE
State: relaxed

Values from the calculation:
- Energy of formation from the pure elements: 900 meV/atom
- Mass density: 6.29 g cm⁻³

a = 4.7354 Å, b = 4.7354 Å, c = 4.8326 Å
α = 90.00°, β = 90.00°, γ = 90.00°
Closest atoms and distances in Å follow each position.
Fractional positions:
Ti (0.0000, 0.5000, 0.0000)  2 Pd 2.37
Ti (0.5000, 0.0000, 0.0000)  2 Pd 2.37
Cd (0.0000, 0.0000, 0.5000)  4 Mo 3.35, 8 Ti 3.38
Mo (0.5000, 0.5000, 0.5000)  2 Pd 2.42
Pd (0.5000, 0.5000, 0.0000)  4 Ti 2.37, 2 Mo 2.42